Material: Pm5Pt4Pb
Method: DFT, PBE-GGA
State: relaxed

## Properties
size of the total moment	0.0	Bohr magnetons per cell
crystal system	tetragonal
theoretical density	11.6	g cm⁻³
calculated formation energy	-0.969	eV per atom

a = 3.5747 Å, b = 3.5747 Å, c = 19.1205 Å
α = 90.00°, β = 90.00°, γ = 90.00°
Last column: nearest neighbours and their distance in Å.
Fractional positions:
Pt: 0.0000 0.0000 0.5939  8 Pm 3.10-3.11
Pm: 0.5000 0.5000 0.1248  4 Pt 3.08
Pm: 0.5000 0.5000 0.5000  8 Pt 3.10
Pt: 0.0000 0.0000 0.2167  8 Pm 3.08-3.11
Pm: 0.5000 0.5000 0.8752  4 Pt 3.08
Pm: 0.5000 0.5000 0.6886  8 Pt 3.11
Pt: 0.0000 0.0000 0.4061  8 Pm 3.10-3.11
Pt: 0.0000 0.0000 0.7833  8 Pm 3.08-3.11
Pb: 0.0000 0.0000 0.0000  8 Pm 3.48, 4 Pb 3.57
Pm: 0.5000 0.5000 0.3114  8 Pt 3.11